Compound: BaGaBAs2
Source: Alexandria
Functional: PBE-GGA
Structure: optimized geometry

Cell lengths 4.589, 4.589, 5.438 Å; angles 90.00, 90.00, 90.00 degrees
Space group P4/mmm (No. 123)
Inequivalent atoms, fractional coordinates:
Ba (0.000, 0.000, 0.000) [1 per cell]
Ga (0.500, 0.500, 0.000) [1 per cell]
B (0.000, 0.000, 0.500) [1 per cell]
As (0.000, 0.500, 0.500) [2 per cell]

Values from the calculation:
Formation energy from the elements: 7.80 kcal/mol of atoms
Density: 5.33 g/cm3